# 1
First-principles (PBE) data for a relaxed structure of MnCrInAu2, as listed in Alexandria via LeMat-Bulk.

a b c (Å): 5.007 5.007 4.005
angles (deg): 90.00 90.00 90.00
Space group P4/mmm (No. 123)
One atom of each set of equivalent atoms:
1 Mn 0.000 0.000 0.000 [1 per cell]
2 Cr 0.000 0.000 0.500 [1 per cell]
3 In 0.500 0.500 0.000 [1 per cell]
4 Au 0.000 0.500 0.500 [2 per cell]

# 2
First-principles (PBE) data for a relaxed structure of ErZrOsPd, as listed in Alexandria via LeMat-Bulk.

a b c (Å): 6.733 6.733 6.733
angles (deg): 90.00 90.00 90.00
Space group F-43m (No. 216)
One atom of each set of equivalent atoms:
1 Er 0.000 0.000 0.000 [4 per cell]
2 Zr 0.000 0.000 0.500 [4 per cell]
3 Os 0.250 0.250 0.250 [4 per cell]
4 Pd 0.250 0.250 0.750 [4 per cell]

# 3
First-principles (PBE) data for a relaxed structure of LaYHf, as listed in Alexandria via LeMat-Bulk.

Distance to the lowest polymorph of the same formula   65 meV per atom

a b c (Å): 3.4474 3.4474 8.5501
angles (deg): 90.00 90.00 120.00
Space group P3m1 (No. 156)
One atom of each set of equivalent atoms:
1 La 0.0000 0.0000 0.0000 [1 per cell]
2 Y 0.3333 0.6667 0.6215 [1 per cell]
3 Hf 0.6667 0.3333 0.3162 [1 per cell]

no.,density (kg/m3),formation enthalpy at 0 K (eV/atom)
1,10182,0.877
2,12080,-0.576
3,7667,0.175